An optimized crystal structure of CeGeRh4, computed with PBE-GGA.

Its total DFT energy (no corrections) is -6.712 eV per atom. The calculation puts the formation energy at -0.053 eV per atom. For the spin magnetization, the calculation gives 0.0 μB/cell.

a = 5.258 Å, b = 5.258 Å, c = 9.303 Å
α = 106.41°, β = 106.41°, γ = 90.00°
Fractional coordinates of all 12 atoms:
Ce1 0.000 0.000 0.000
Ce2 0.750 0.250 0.500
Ge1 0.500 0.500 0.000
Ge2 0.250 0.750 0.500
Rh1 0.620 0.370 0.239
Rh2 0.619 0.870 0.739
Rh3 0.120 0.870 0.739
Rh4 0.620 0.869 0.239
Rh5 0.130 0.381 0.261
Rh6 0.630 0.380 0.761
Rh7 0.131 0.380 0.761
Rh8 0.130 0.880 0.261